Record 1
UCrCN: optimized geometry, PBE.

Output
M_tot (μB per formula unit): 0.699
Formation energy (no corrections) (eV/atom): -0.441
VASP energy (eV per atom): -10.0561
Space-group type: P6_3mc

Unit cell a=3.430 b=3.430 c=10.146 alpha=90.00 beta=90.00 gamma=120.00
Element x y z (fractional)
U  0.333  0.667  0.000
U  0.667  0.333  0.500
Cr  0.000  0.000  0.284
Cr  0.000  0.000  0.784
C  0.333  0.667  0.354
C  0.667  0.333  0.854
N  0.000  0.000  0.103
N  0.000  0.000  0.603

Record 2
CdGaAgSn: optimized geometry, PBE.

Output
M_tot (μB per formula unit): 0.000
VASP energy (eV per atom): -2.5876
E_form (eV/atom): 0.1114
Space-group type: F-43m

Unit cell a=7.054 b=7.054 c=7.054 alpha=90.00 beta=90.00 gamma=90.00
Element x y z (fractional)
Cd  0.000  0.000  0.000
Cd  0.000  0.500  0.500
Cd  0.500  0.000  0.500
Cd  0.500  0.500  0.000
Ga  0.250  0.250  0.750
Ga  0.250  0.750  0.250
Ga  0.750  0.250  0.250
Ga  0.750  0.750  0.750
Ag  0.250  0.250  0.250
Ag  0.250  0.750  0.750
Ag  0.750  0.250  0.750
Ag  0.750  0.750  0.250
Sn  0.000  0.000  0.500
Sn  0.000  0.500  0.000
Sn  0.500  0.000  0.000
Sn  0.500  0.500  0.500

Record 3
CaGa2Pt2: optimized geometry, PBE.

Output
M_tot (μB per formula unit): 0.000
VASP energy (eV per atom): -4.6569
E_form (eV/atom): -0.6295
Space-group type: P4/mbm

Unit cell a=7.770 b=7.770 c=2.907 alpha=90.00 beta=90.00 gamma=90.00
Element x y z (fractional)
Ca  0.000  0.000  0.000
Ca  0.500  0.500  0.000
Ga  0.150  0.350  0.500
Ga  0.350  0.850  0.500
Ga  0.650  0.150  0.500
Ga  0.850  0.650  0.500
Pt  0.145  0.645  0.000
Pt  0.355  0.145  0.000
Pt  0.645  0.855  0.000
Pt  0.855  0.355  0.000

Record 4
NaHg: optimized geometry, PBE.

Output
M_tot (μB per formula unit): 0.000
VASP energy (eV per atom): -0.9546
E_form (eV/atom): -0.1442
Space-group type: I4/m

Unit cell a=11.922 b=11.922 c=3.321 alpha=90.00 beta=90.00 gamma=90.00
Element x y z (fractional)
Na  0.125  0.660  0.000
Na  0.160  0.375  0.500
Na  0.340  0.125  0.000
Na  0.375  0.840  0.500
Na  0.625  0.160  0.500
Na  0.660  0.875  0.000
Na  0.840  0.625  0.500
Na  0.875  0.340  0.000
Hg  0.074  0.163  0.000
Hg  0.163  0.926  0.000
Hg  0.337  0.574  0.500
Hg  0.426  0.337  0.500
Hg  0.574  0.663  0.500
Hg  0.663  0.426  0.500
Hg  0.837  0.074  0.000
Hg  0.926  0.837  0.000

Record 5
ThCuSi2Pt5: optimized geometry, PBE.

Output
M_tot (μB per formula unit): 0.000
Formation energy (no corrections) (eV/atom): -0.609
VASP energy (eV per atom): -6.4495
Space-group type: P4/mmm

Unit cell a=4.097 b=4.097 c=10.194 alpha=90.00 beta=90.00 gamma=90.00
Element x y z (fractional)
Th  0.000  0.000  0.000
Cu  0.000  0.000  0.500
Si  0.500  0.500  0.231
Si  0.500  0.500  0.769
Pt  0.000  0.500  0.345
Pt  0.000  0.500  0.655
Pt  0.500  0.000  0.345
Pt  0.500  0.000  0.655
Pt  0.500  0.500  0.000

Record 6
ErThZnSn: optimized geometry, PBE.

Output
M_tot (μB per formula unit): 0.000
VASP energy (eV per atom): -4.6718
E_form (eV/atom): -0.3569
Space-group type: F-43m

Unit cell a=7.452 b=7.452 c=7.452 alpha=90.00 beta=90.00 gamma=90.00
Element x y z (fractional)
Er  0.000  0.000  0.000
Er  0.000  0.500  0.500
Er  0.500  0.000  0.500
Er  0.500  0.500  0.000
Th  0.000  0.000  0.500
Th  0.000  0.500  0.000
Th  0.500  0.000  0.000
Th  0.500  0.500  0.500
Zn  0.250  0.250  0.250
Zn  0.250  0.750  0.750
Zn  0.750  0.250  0.750
Zn  0.750  0.750  0.250
Sn  0.250  0.250  0.750
Sn  0.250  0.750  0.250
Sn  0.750  0.250  0.250
Sn  0.750  0.750  0.750

Record 7
InB5Ir6: optimized geometry, PBE.

Output
M_tot (μB per formula unit): 0.000
VASP energy (eV per atom): -7.5836
E_form (eV/atom): -0.1426
Space-group type: C2/m

Unit cell a=5.445 b=5.445 c=6.189 alpha=106.20 beta=106.20 gamma=107.68
Element x y z (fractional)
In  0.000  0.000  0.000
B  0.103  0.897  0.500
B  0.307  0.693  0.000
B  0.500  0.500  0.500
B  0.693  0.307  0.000
B  0.897  0.103  0.500
Ir  0.143  0.577  0.250
Ir  0.334  0.334  0.735
Ir  0.423  0.857  0.750
Ir  0.577  0.143  0.250
Ir  0.666  0.666  0.265
Ir  0.857  0.423  0.750

Record 8
LuTlIn2: optimized geometry, PBE.

Output
M_tot (μB per formula unit): 0.000
VASP energy (eV per atom): -3.2299
E_form (eV/atom): -0.1389
Space-group type: P4/mmm

Unit cell a=3.772 b=3.772 c=7.545 alpha=90.00 beta=90.00 gamma=90.00
Element x y z (fractional)
Lu  0.000  0.000  0.000
Tl  0.000  0.000  0.500
In  0.500  0.500  0.243
In  0.500  0.500  0.757